[1]
Computed, not measured: a geometry-optimized AcEuYLu structure at the PBE level of DFT.

Summary:
crystal system: cubic
calculated formation energy: 0.14 eV/atom
volume: 584 Å³ per cell
density of states at the Fermi level: 6.05 states/eV/f.u.
energy: -99.28 eV per cell
symmetry: No. 216

Cell and atoms, written as POSCAR:
```
AcEuYLu
1.0
8.358 0.000 0.000
0.000 8.358 0.000
0.000 0.000 8.358
Ac Eu Y Lu
4 4 4 4
Direct
0.000 0.000 0.000
0.000 0.500 0.500
0.500 0.000 0.500
0.500 0.500 0.000
0.250 0.250 0.250
0.250 0.750 0.750
0.750 0.250 0.750
0.750 0.750 0.250
0.000 0.000 0.500
0.000 0.500 0.000
0.500 0.000 0.000
0.500 0.500 0.500
0.250 0.250 0.750
0.250 0.750 0.250
0.750 0.250 0.250
0.750 0.750 0.750
```

[2]
Computed, not measured: a geometry-optimized Ac2EuMg structure at the PBE level of DFT.

Summary:
crystal system: cubic
calculated formation energy: 0.02 eV/atom
volume: 617 Å³ per cell
density of states at the Fermi level: 4.14 states/eV/f.u.
energy: -80.03 eV per cell
energy above the lowest structure with this stoichiometry: 42 meV per atom
symmetry: No. 225

Cell and atoms, written as POSCAR:
```
Ac2EuMg
1.0
8.512 0.000 0.000
0.000 8.512 0.000
0.000 0.000 8.512
Ac Eu Mg
8 4 4
Direct
0.250 0.250 0.250
0.250 0.250 0.750
0.250 0.750 0.250
0.250 0.750 0.750
0.750 0.250 0.250
0.750 0.250 0.750
0.750 0.750 0.250
0.750 0.750 0.750
0.000 0.000 0.000
0.000 0.500 0.500
0.500 0.000 0.500
0.500 0.500 0.000
0.000 0.000 0.500
0.000 0.500 0.000
0.500 0.000 0.000
0.500 0.500 0.500
```

[3]
Computed, not measured: a geometry-optimized Ac2EuMg structure at the PBE level of DFT.

Summary:
crystal system: trigonal
calculated formation energy: 0.27 eV/atom
volume: 505 Å³ per cell
density of states at the Fermi level: 5.05 states/eV/f.u.
energy: -56.99 eV per cell
energy above the lowest structure with this stoichiometry: 295 meV per atom
symmetry: No. 166

Cell and atoms, written as POSCAR:
```
Ac2EuMg
1.0
3.804 0.000 0.000
-1.902 3.294 0.000
0.000 0.000 40.340
Ac Eu Mg
6 3 3
Direct
0.000 0.000 0.087
0.000 0.000 0.913
0.333 0.667 0.579
0.333 0.667 0.754
0.667 0.333 0.246
0.667 0.333 0.421
0.000 0.000 0.500
0.333 0.667 0.167
0.667 0.333 0.833
0.000 0.000 0.000
0.333 0.667 0.667
0.667 0.333 0.333
```

[4]
Computed, not measured: a geometry-optimized Ac2EuMg structure at the PBE level of DFT.

Summary:
crystal system: tetragonal
calculated formation energy: -0.02 eV/atom
volume: 158 Å³ per cell
density of states at the Fermi level: 3.86 states/eV/f.u.
energy: -20.17 eV per cell
energy above the lowest structure with this stoichiometry: 0 meV per atom
symmetry: No. 123

Cell and atoms, written as POSCAR:
```
Ac2EuMg
1.0
4.104 0.000 0.000
0.000 4.104 0.000
0.000 0.000 9.361
Ac Eu Mg
2 1 1
Direct
0.000 0.000 0.216
0.000 0.000 0.784
0.500 0.500 0.500
0.500 0.500 0.000
```

[5]
Computed, not measured: a geometry-optimized AcEuMg structure at the PBE level of DFT.

Summary:
crystal system: trigonal
calculated formation energy: 0.04 eV/atom
volume: 110 Å³ per cell
density of states at the Fermi level: 2.61 states/eV/f.u.
energy: -15.86 eV per cell
energy above the lowest structure with this stoichiometry: 78 meV per atom
symmetry: No. 156

Cell and atoms, written as POSCAR:
```
AcEuMg
1.0
5.833 0.000 0.000
-2.916 5.052 0.000
0.000 0.000 3.739
Ac Eu Mg
1 1 1
Direct
0.000 0.000 0.000
0.333 0.667 0.433
0.667 0.333 0.607
```

[6]
Computed, not measured: a geometry-optimized AcEuMg structure at the PBE level of DFT.

Summary:
crystal system: tetragonal
calculated formation energy: -0.04 eV/atom
volume: 222 Å³ per cell
density of states at the Fermi level: 7.51 states/eV/f.u.
energy: -32.18 eV per cell
energy above the lowest structure with this stoichiometry: 0 meV per atom
symmetry: No. 107

Cell and atoms, written as POSCAR:
```
AcEuMg
1.0
4.088 0.000 0.000
0.000 4.088 0.000
0.000 0.000 13.256
Ac Eu Mg
2 2 2
Direct
0.000 0.000 0.000
0.500 0.500 0.500
0.000 0.000 0.703
0.500 0.500 0.203
0.000 0.000 0.345
0.500 0.500 0.845
```

[7]
Computed, not measured: a geometry-optimized AcEu2Mg structure at the PBE level of DFT.

Summary:
crystal system: tetragonal
calculated formation energy: 0.04 eV/atom
volume: 152 Å³ per cell
density of states at the Fermi level: 5.73 states/eV/f.u.
energy: -26.09 eV per cell
energy above the lowest structure with this stoichiometry: 51 meV per atom
symmetry: No. 123

Cell and atoms, written as POSCAR:
```
AcEu2Mg
1.0
5.248 0.000 0.000
0.000 5.248 0.000
0.000 0.000 5.522
Ac Eu Mg
1 2 1
Direct
0.000 0.000 0.000
0.000 0.500 0.500
0.500 0.000 0.500
0.500 0.500 0.000
```

[8]
Computed, not measured: a geometry-optimized AcEu2Mg structure at the PBE level of DFT.

Summary:
crystal system: tetragonal
calculated formation energy: -0.01 eV/atom
volume: 152 Å³ per cell
density of states at the Fermi level: 12.74 states/eV/f.u.
energy: -26.30 eV per cell
energy above the lowest structure with this stoichiometry: 0 meV per atom
symmetry: No. 123

Cell and atoms, written as POSCAR:
```
AcEu2Mg
1.0
3.981 0.000 0.000
0.000 3.981 0.000
0.000 0.000 9.583
Ac Eu Mg
1 2 1
Direct
0.000 0.000 0.000
0.500 0.500 0.289
0.500 0.500 0.711
0.000 0.000 0.500
```

[9]
Computed, not measured: a geometry-optimized Ac2EuMg structure at the PBE level of DFT.

Summary:
crystal system: tetragonal
calculated formation energy: 0.01 eV/atom
volume: 154 Å³ per cell
density of states at the Fermi level: 3.55 states/eV/f.u.
energy: -20.05 eV per cell
energy above the lowest structure with this stoichiometry: 31 meV per atom
symmetry: No. 123

Cell and atoms, written as POSCAR:
```
Ac2EuMg
1.0
5.967 0.000 0.000
0.000 5.967 0.000
0.000 0.000 4.332
Ac Eu Mg
2 1 1
Direct
0.000 0.500 0.000
0.500 0.000 0.000
0.000 0.000 0.500
0.500 0.500 0.500
```

[10]
Computed, not measured: a geometry-optimized AcEu2Mg structure at the PBE level of DFT.

Summary:
crystal system: trigonal
calculated formation energy: 0.03 eV/atom
volume: 466 Å³ per cell
density of states at the Fermi level: 9.44 states/eV/f.u.
energy: -78.36 eV per cell
energy above the lowest structure with this stoichiometry: 44 meV per atom
symmetry: No. 166

Cell and atoms, written as POSCAR:
```
AcEu2Mg
1.0
3.853 0.000 0.000
-1.926 3.336 0.000
0.000 0.000 36.284
Ac Eu Mg
3 6 3
Direct
0.000 0.000 0.000
0.333 0.667 0.667
0.667 0.333 0.333
0.000 0.000 0.242
0.000 0.000 0.758
0.333 0.667 0.424
0.333 0.667 0.909
0.667 0.333 0.091
0.667 0.333 0.576
0.000 0.000 0.500
0.333 0.667 0.167
0.667 0.333 0.833
```

[11]
Computed, not measured: a geometry-optimized AcEu2Mg structure at the PBE level of DFT.

Summary:
crystal system: cubic
calculated formation energy: 0.09 eV/atom
volume: 603 Å³ per cell
density of states at the Fermi level: 2.96 states/eV/f.u.
energy: -103.65 eV per cell
energy above the lowest structure with this stoichiometry: 96 meV per atom
symmetry: No. 225

Cell and atoms, written as POSCAR:
```
AcEu2Mg
1.0
8.448 0.000 0.000
0.000 8.448 0.000
0.000 0.000 8.448
Ac Eu Mg
4 8 4
Direct
0.000 0.000 0.000
0.000 0.500 0.500
0.500 0.000 0.500
0.500 0.500 0.000
0.250 0.250 0.250
0.250 0.250 0.750
0.250 0.750 0.250
0.250 0.750 0.750
0.750 0.250 0.250
0.750 0.250 0.750
0.750 0.750 0.250
0.750 0.750 0.750
0.000 0.000 0.500
0.000 0.500 0.000
0.500 0.000 0.000
0.500 0.500 0.500
```

[12]
Computed, not measured: a geometry-optimized AcEuMg4 structure at the PBE level of DFT.

Summary:
crystal system: cubic
calculated formation energy: -0.12 eV/atom
volume: 179 Å³ per cell
density of states at the Fermi level: 10.88 states/eV/f.u.
energy: -21.47 eV per cell
symmetry: No. 216

Cell and atoms, written as POSCAR:
```
AcEuMg4
1.0
0.000 4.472 4.472
4.472 0.000 4.472
4.472 4.472 0.000
Ac Eu Mg
1 1 4
Direct
0.000 0.000 0.000
0.750 0.750 0.750
0.375 0.375 0.375
0.375 0.375 0.876
0.375 0.876 0.375
0.876 0.375 0.375
```